The following is a DFT calculation (PBE) of a relaxed Ba2Sr2Bi crystal.

Lattice parameters (Å, degrees): 8.9813 8.9813 6.4786 90.00 90.00 90.00
Element x y z (fractional)
1 Ba 0.1646 0.3354 0.0000
2 Ba 0.3354 0.8354 0.0000
3 Ba 0.6646 0.1646 0.0000
4 Ba 0.8354 0.6646 0.0000
5 Sr 0.1564 0.6564 0.5000
6 Sr 0.3436 0.1564 0.5000
7 Sr 0.6564 0.8436 0.5000
8 Sr 0.8436 0.3436 0.5000
9 Bi 0.0000 0.0000 0.5000
10 Bi 0.5000 0.5000 0.5000

Properties
Formation energy in eV/f.u.: -1.2
Size of the total moment in μB per formula unit: 0.00
E_tot in eV per cell: -24.6
Fermi-level density of states in states/eV/atom: 1.70